Entry 1:
A geometry-optimized Ni2MoAs structure, computed with PBE.

Cell and atoms, written as POSCAR:
```
Ni2MoAs
1.0
2.7893 0.0000 0.0000
0.0000 3.9057 0.0000
-1.3504 0.0000 4.8839
Ni Mo As
2 1 1
direct
0.0000 0.0000 0.0000 Ni
0.2432 0.0000 0.5064 Ni
0.6044 0.5000 0.2219 Mo
0.8723 0.5000 0.7335 As
```

Summary:
Formation energy in eV/f.u.: -0.1
N(E_F) in states/eV per cell: 4.4
Total magnetization in μB per formula unit: 0.000
Symmetry: No. 6

Entry 2:
A geometry-optimized NiMo4As structure, computed with PBE.

Cell and atoms, written as POSCAR:
```
NiMo4As
1.0
0.0000 3.6698 3.6698
3.6698 0.0000 3.6698
3.6698 3.6698 0.0000
Ni Mo As
1 4 1
direct
0.0000 0.0000 0.0000 Ni
0.3739 0.3739 0.3739 Mo
0.3739 0.3739 0.8783 Mo
0.3739 0.8783 0.3739 Mo
0.8783 0.3739 0.3739 Mo
0.7500 0.7500 0.7500 As
```

Summary:
Formation energy in eV/f.u.: 3.9
N(E_F) in states/eV per cell: 5.9
Total magnetization in μB per formula unit: 0.000
Symmetry: No. 216